Entry from Alexandria via LeMat-Bulk: an optimized crystal structure of Na5NpN4 (GGA-PBE).

## Properties
The density of states at the Fermi level is 4.23 states/eV/f.u. The symmetry is C2/m. The value obtained for the total energy is -5.53 eV per atom. As for the crystal system: monoclinic.

Cell lengths 3.581, 6.698, 7.413 Å; angles 100.13, 103.98, 90.00 degrees
Site moments in Bohr magnetons follow the coordinates.
Element x y z (fractional)
N1 0.640 0.091 0.280  0.06
N2 0.360 0.909 0.720  0.06
N3 0.010 0.802 0.020  0.10
N4 0.990 0.198 0.980  0.10
Na1 0.822 0.125 0.644  0.00
Na2 0.845 0.681 0.690  -0.01
Na3 0.155 0.319 0.310  -0.01
Na4 0.178 0.875 0.356  0.00
Na5 0.500 0.500 0.000  0.00
Np1 0.500 0.000 0.000  -0.16